RbMnVF6 | the Alexandria database | PBE with a Hubbard U | optimized geometry; total magnetization = 7.0 μB per formula unit; final energy = -52.67 eV per cell
1.0
5.572 0.018 -0.008
2.787 4.841 -0.022
0.008 0.017 6.029
F Rb V Mn
6 1 1 1
direct
0.614 0.022 0.317
0.023 0.363 0.317
0.022 0.615 0.682
0.364 0.613 0.317
0.614 0.364 0.683
0.364 0.023 0.683
0.000 0.000 0.000
0.334 0.333 0.500
0.666 0.667 0.500